No. 1
{"formula": "CeZr3O8", "functional": "meta-GGA SCAN", "state": "single point on PBEsol structure", "lattice_angstrom": [[5.2422, 0.0000, 0.0000], [0.0382, 5.2902, 0.0000], [0.8076, 0.0292, 5.3092]], "species": ["Ce", "Zr", "Zr", "Zr", "O", "O", "O", "O", "O", "O", "O", "O"], "frac_coords": [[0.0000, 0.0000, 0.0000], [0.5457, 0.5029, 0.0864], [0.5469, 0.9233, 0.5763], [0.9906, 0.4286, 0.5016], [0.1972, 0.3264, 0.1357], [0.2085, 0.1407, 0.6210], [0.3247, 0.6485, 0.4452], [0.3691, 0.8075, 0.9407], [0.7140, 0.2146, 0.3210], [0.7140, 0.2317, 0.8076], [0.7996, 0.7131, 0.2839], [0.8200, 0.7023, 0.7659]], "de_polymorph_mev_per_atom": 10, "raw_formation_energy_kj_per_mol_atoms": -360.6, "dos_at_fermi_per_ev_atom": 0.000, "crystal_system": "triclinic", "magmom_total_mub_per_cell": 0.00}



No. 2
{"formula": "Ce5Zr3O16", "functional": "meta-GGA SCAN", "state": "single point on PBEsol structure", "lattice_angstrom": [[5.2797, -5.3212, 0.0000], [5.2797, 5.3212, 0.0000], [0.0000, 0.0000, 5.3194]], "species": ["Ce", "Ce", "Ce", "Ce", "Ce", "Zr", "Zr", "Zr", "O", "O", "O", "O", "O", "O", "O", "O", "O", "O", "O", "O", "O", "O", "O", "O"], "frac_coords": [[0.0000, 0.0000, 0.0000], [0.0000, 0.5000, 0.9919], [0.2567, 0.2567, 0.5000], [0.5000, 0.0000, 0.0081], [0.7433, 0.7433, 0.5000], [0.2453, 0.7547, 0.5000], [0.5000, 0.5000, 0.0000], [0.7547, 0.2453, 0.5000], [0.0126, 0.2460, 0.7585], [0.0218, 0.7417, 0.2697], [0.2460, 0.0126, 0.2415], [0.2494, 0.5243, 0.7148], [0.2583, 0.9782, 0.7303], [0.2647, 0.4816, 0.2087], [0.4757, 0.7506, 0.2852], [0.4816, 0.2647, 0.7913], [0.5184, 0.7353, 0.7913], [0.5243, 0.2494, 0.2852], [0.7353, 0.5184, 0.2087], [0.7417, 0.0218, 0.7303], [0.7506, 0.4757, 0.7148], [0.7540, 0.9874, 0.2415], [0.9782, 0.2583, 0.2697], [0.9874, 0.7540, 0.7585]], "raw_formation_energy_kj_per_mol_atoms": -361.0, "dos_at_fermi_per_ev_atom": 0.000, "crystal_system": "orthorhombic", "magmom_total_mub_per_cell": 0.00}



Number 1 is which compound? CeZr3O8



Number 2 is which compound? Ce5Zr3O16